Record 1
The following is a DFT calculation (GGA-PBE) of a relaxed Cs2NpAgTe4 crystal.

As for the volume: 41.29 A^3/atom. Its total energy is -4.276 eV per atom.

The space group is I-42m (No. 121) and the conventional cell measures 9.278, 9.278 and 7.673 Å, with angles of 90.00, 90.00 and 90.00 degrees. Symmetry generates all atoms from Cs at (0.000, 0.500, 0.000), Np at (0.000, 0.000, 0.000), Ag at (0.000, 0.000, 0.500) and Te at (0.165, 0.165, 0.257).

---

Record 2
The following is a DFT calculation (GGA-PBE) of a relaxed Nb3PRh crystal.

The formation energy is 1.13 eV per atom. As for the volume: 22.19 A^3/atom. Its total energy is -7.460 eV per atom.

The space group is Pm-3m (No. 221) and the conventional cell measures 4.805, 4.805 and 4.805 Å, with angles of 90.00, 90.00 and 90.00 degrees. Symmetry generates all atoms from Nb at (0.000, 0.000, 0.500), P at (0.500, 0.500, 0.500) and Rh at (0.000, 0.000, 0.000).